Entry 1:
The following is a GGA-PBE calculation of an optimized crystal structure of V2ReAu, from Alexandria via LeMat-Bulk.

## Properties
energy relative to the lowest polymorph listed for this composition = 81 kJ/mol of formula units

a = 2.9090 Å, b = 2.9090 Å, c = 25.3557 Å
α = 90.00°, β = 90.00°, γ = 120.00°
Last column: nearest neighbours and their distance in Å.
Positions (direct):
V (0.0000, 0.0000, 0.2434)  3 Re 2.57, 3 Au 2.83
V (0.0000, 0.0000, 0.7566)  3 Re 2.57, 3 Au 2.83
V (0.3333, 0.6667, 0.4233)  3 Re 2.57, 3 Au 2.83
V (0.3333, 0.6667, 0.9100)  3 Re 2.57, 3 Au 2.83
V (0.6667, 0.3333, 0.0900)  3 Re 2.57, 3 Au 2.83
V (0.6667, 0.3333, 0.5767)  3 Re 2.57, 3 Au 2.83
Re (0.0000, 0.0000, 0.5000)  6 V 2.57
Re (0.3333, 0.6667, 0.1667)  6 V 2.57
Re (0.6667, 0.3333, 0.8333)  6 V 2.57
Au (0.0000, 0.0000, 0.0000)  6 V 2.83, 6 Au 2.91
Au (0.3333, 0.6667, 0.6667)  6 V 2.83, 6 Au 2.91
Au (0.6667, 0.3333, 0.3333)  6 V 2.83, 6 Au 2.91

=====

Entry 2:
The following is a GGA-PBE calculation of an optimized crystal structure of VZnAu2, from Alexandria via LeMat-Bulk.

## Properties
electronic total energy = -17.001 eV/cell

a = 4.2962 Å, b = 4.2962 Å, c = 3.6194 Å
α = 90.00°, β = 90.00°, γ = 90.00°
Last column: nearest neighbours and their distance in Å.
Positions (direct):
V (0.0000, 0.0000, 0.0000)  8 Au 2.81, 4 Zn 3.04
Zn (0.5000, 0.5000, 0.0000)  8 Au 2.81, 4 V 3.04
Au (0.0000, 0.5000, 0.5000)  4 V 2.81, 4 Zn 2.81, 4 Au 3.04
Au (0.5000, 0.0000, 0.5000)  4 V 2.81, 4 Zn 2.81, 4 Au 3.04

=====

Entry 3:
The following is a GGA-PBE calculation of an optimized crystal structure of RbPdS2O8, from Alexandria via LeMat-Bulk.

## Properties
electronic total energy = -68.943 eV/cell

a = 5.0311 Å, b = 5.0311 Å, c = 8.4004 Å
α = 92.69°, β = 92.69°, γ = 62.43°
Last column: nearest neighbours and their distance in Å.
Positions (direct):
Rb (0.0000, 0.0000, 0.0000)  10 O 3.01-3.27
Pd (0.0000, 0.0000, 0.5000)  6 O 2.07-2.28
S (0.3764, 0.3764, 0.6896)  4 O 1.46-1.53
S (0.6236, 0.6236, 0.3104)  4 O 1.46-1.53
O (0.2466, 0.7176, 0.6816)  1 S 1.53
O (0.2625, 0.2625, 0.5540)  1 S 1.46
O (0.2824, 0.7534, 0.3184)  1 S 1.53
O (0.3170, 0.3170, 0.8493)  1 S 1.46
O (0.6830, 0.6830, 0.1507)  1 S 1.46
O (0.7176, 0.2466, 0.6816)  1 S 1.53
O (0.7375, 0.7375, 0.4460)  1 S 1.46
O (0.7534, 0.2824, 0.3184)  1 S 1.53

=====

Total magnetization / Bohr magnetons per cell: 4.10 2.92 1.00
Volume / Å³ per cell: 185.8 66.8 188.2